Dy13Er2: optimized geometry, GGA-PBE.

## Properties
- DOS at the Fermi energy: 1.9046 states/eV/atom
- Symmetry: P-1, No. 2
- E above lowest polymorph: 0 meV/atom

Structure (CIF):
```
data_Dy13Er2
_chemical_formula_sum 'Dy13 Er2'
_cell_length_a 6.570
_cell_length_b 8.683
_cell_length_c 8.919
_cell_angle_alpha 110.85
_cell_angle_beta 83.76
_cell_angle_gamma 99.34
_symmetry_space_group_name_H-M 'P 1'
_symmetry_Int_Tables_number 1
loop_
_symmetry_equiv_pos_as_xyz
'x,y,z'
loop_
_atom_site_label
_atom_site_fract_x
_atom_site_fract_y
_atom_site_fract_z
Dy1 0.762 0.576 0.025
Dy2 0.238 0.424 0.975
Dy3 0.000 0.000 0.000
Dy4 0.333 0.000 0.666
Dy5 0.667 0.000 0.334
Dy6 0.096 0.576 0.692
Dy7 0.904 0.424 0.308
Dy8 0.429 0.576 0.359
Dy9 0.571 0.424 0.641
Dy10 0.467 0.804 0.934
Dy11 0.533 0.196 0.066
Dy12 0.866 0.197 0.732
Dy13 0.134 0.803 0.268
Er1 0.801 0.803 0.600
Er2 0.199 0.197 0.400
```